DFT (GGA-PBE) results for a relaxed structure of WSIN2.

Structure (POSCAR):
```
WSIN2
1.0
3.7419 0.0000 0.0000
0.0000 3.7419 0.0000
0.0000 0.0000 6.5945
W S I N
1 1 1 2
direct
0.0000 0.0000 0.0000
0.5000 0.5000 0.5000
0.5000 0.5000 0.0000
0.0000 0.5000 0.5000
0.5000 0.0000 0.5000
```

* D(E_F): 3.7 states/eV per cell
* formation energy without anion corrections: 2.44 eV/atom
* offset from the most stable computed form: 1832 meV per atom
* calculated density: 6.7 g/cm³

DFT (GGA-PBE) results for a relaxed structure of Pu3BeGe6Pd2.

Structure (POSCAR):
```
Pu3BeGe6Pd2
1.0
5.6917 0.0000 0.0000
-2.8458 4.9291 0.0000
0.0000 0.0000 8.3607
Pu Be Ge Pd
3 1 6 2
direct
0.0000 0.0000 0.0000
0.3333 0.6667 0.6076
0.6667 0.3333 0.3924
0.0000 0.0000 0.5000
0.1750 0.3499 0.2879
0.1750 0.8250 0.2879
0.3499 0.1750 0.7121
0.6501 0.8250 0.2879
0.8250 0.1750 0.7121
0.8250 0.6501 0.7121
0.3333 0.6667 0.0371
0.6667 0.3333 0.9629
```

* D(E_F): 28.4 states/eV per cell
* calculated density: 9.8 g/cm³
* DFT formation energy: -2.53 eV/f.u.

DFT (GGA-PBE) results for a relaxed structure of K2SrRu.

Structure (POSCAR):
```
K2SrRu
1.0
-2.3485 2.3485 13.1531
2.3485 -2.3485 13.1531
2.3485 2.3485 -13.1531
K Sr Ru
4 2 2
direct
0.1023 0.1250 0.4773
0.3750 0.8977 0.0227
0.6477 0.6250 0.5227
0.8750 0.3523 0.9773
0.2500 0.7500 0.5000
0.5000 0.5000 0.0000
0.0000 0.0000 0.0000
0.7500 0.2500 0.5000
```

* D(E_F): 11.6 states/eV per cell
* offset from the most stable computed form: 318 meV per atom
* calculated density: 3.1 g/cm³
* DFT formation energy: 3.83 eV/f.u.

DFT (GGA-PBE) results for a relaxed structure of Dy2Er3Cd4.

Structure (POSCAR):
```
Dy2Er3Cd4
1.0
3.3456 -9.2650 0.0000
3.3456 9.2650 0.0000
0.0000 0.0000 8.0301
Dy Er Cd
4 6 8
direct
0.0923 0.9077 0.8992
0.4077 0.5923 0.3992
0.5923 0.4077 0.6008
0.9077 0.0923 0.1008
0.0000 0.0000 0.5000
0.0048 0.4952 0.7500
0.4952 0.0048 0.2500
0.5000 0.5000 0.0000
0.5048 0.9952 0.7500
0.9952 0.5048 0.2500
0.1606 0.8394 0.5191
0.1747 0.3253 0.7500
0.3253 0.1747 0.2500
0.3394 0.6606 0.0191
0.6606 0.3394 0.9809
0.6747 0.8253 0.7500
0.8253 0.6747 0.2500
0.8394 0.1606 0.4809
```

* D(E_F): 14.9 states/eV per cell
* calculated density: 8.5 g/cm³
* DFT formation energy: -1.28 eV/f.u.

DFT (GGA-PBE) results for a relaxed structure of ThHgAs2O8.

Structure (POSCAR):
```
ThHgAs2O8
1.0
2.5948 1.4981 7.5133
-2.5948 1.4981 7.5133
0.0000 -2.9963 7.5133
Th Hg As O
1 1 2 8
direct
0.0000 0.0000 0.0000
0.5000 0.5000 0.5000
0.2427 0.2427 0.2427
0.7573 0.7573 0.7573
0.0480 0.7119 0.4282
0.1673 0.1673 0.1673
0.2881 0.5718 0.9520
0.4282 0.0480 0.7119
0.5718 0.9520 0.2881
0.7119 0.4282 0.0480
0.8327 0.8327 0.8327
0.9520 0.2881 0.5718
```

* D(E_F): 0.3 states/eV per cell
* formation energy without anion corrections: -1.57 eV/atom
* calculated density: 6.7 g/cm³

DFT (GGA-PBE) results for a relaxed structure of Ta2NiP.

Structure (POSCAR):
```
Ta2NiP
1.0
2.9193 0.0000 0.0000
0.0000 3.5902 0.0000
-1.1476 0.0000 5.6966
Ta Ni P
2 1 1
direct
0.0542 0.0000 0.2521
0.9458 0.0000 0.7479
0.5000 0.5000 0.0000
0.5000 0.5000 0.5000
```

* D(E_F): 3.3 states/eV per cell
* calculated density: 12.6 g/cm³
* DFT formation energy: -1.17 eV/f.u.

DFT (GGA-PBE) results for a relaxed structure of YBeW2.

Structure (POSCAR):
```
YBeW2
1.0
3.2450 0.0000 0.0000
0.0000 3.2450 0.0000
0.0000 0.0000 6.6417
Y Be W
1 1 2
direct
0.0000 0.0000 0.0000
0.5000 0.5000 0.3091
0.0000 0.0000 0.4817
0.5000 0.5000 0.6910
```

* D(E_F): 3.3 states/eV per cell
* calculated density: 11.1 g/cm³
* DFT formation energy: 0.87 eV/f.u.

DFT (GGA-PBE) results for a relaxed structure of VPdS2Cl.

Structure (POSCAR):
```
VPdS2Cl
1.0
4.5455 0.0000 0.0000
0.0000 4.5455 0.0000
0.0000 0.0000 4.6603
V Pd S Cl
1 1 2 1
direct
0.0000 0.0000 0.0000
0.5000 0.5000 0.5000
0.0000 0.5000 0.0000
0.5000 0.0000 0.0000
0.0000 0.0000 0.5000
```

* D(E_F): 4.7 states/eV per cell
* formation energy without anion corrections: -0.01 eV/atom
* offset from the most stable computed form: 0 meV per atom
* calculated density: 4.4 g/cm³

Q: Among the records above, which one has the highest D(E_F)?
A: Pu3BeGe6Pd2